Here is a geometry-optimized ZrRuSe2N structure from Alexandria. Energies are from PBE.

Geometry as CIF:
```
data_ZrRuSe2N
_cell_length_a 5.053
_cell_length_b 5.053
_cell_length_c 3.655
_cell_angle_alpha 90.00
_cell_angle_beta 90.00
_cell_angle_gamma 90.00
_space_group_name_H-M_alt 'P 4/m m m'
_space_group_IT_number 123
_space_group_name_Hall '-P 4 2'
loop_
_atom_site_label
_atom_site_fract_x
_atom_site_fract_y
_atom_site_fract_z
Zr1 0.000 0.000 0.000
Ru1 0.500 0.500 0.500
Se1 0.000 0.500 0.500
N1 0.500 0.500 0.000
```

Excess energy over the best structure of this formula in the dataset ... 0 meV/atom
Total magnetic moment ... 0.6 μB/f.u.
Raw total energy ... -33.0 eV for the cell shown

Here is a geometry-optimized ZrRuSeN2 structure from Alexandria. Energies are from PBE.

Geometry as CIF:
```
data_ZrRuSeN2
_cell_length_a 3.879
_cell_length_b 3.879
_cell_length_c 5.017
_cell_angle_alpha 90.00
_cell_angle_beta 90.00
_cell_angle_gamma 90.00
_space_group_name_H-M_alt 'P 4/m m m'
_space_group_IT_number 123
_space_group_name_Hall '-P 4 2'
loop_
_atom_site_label
_atom_site_fract_x
_atom_site_fract_y
_atom_site_fract_z
Zr1 0.000 0.000 0.000
Ru1 0.500 0.500 0.500
Se1 0.500 0.500 0.000
N1 0.000 0.500 0.500
```

Excess energy over the best structure of this formula in the dataset ... 0 meV/atom
Total magnetic moment ... 0.0 μB/f.u.
Raw total energy ... -35.8 eV for the cell shown

Here is a geometry-optimized SiRu3N structure from Alexandria. Energies are from PBE.

Geometry as CIF:
```
data_SiRu3N
_cell_length_a 3.995
_cell_length_b 3.995
_cell_length_c 3.995
_cell_angle_alpha 90.00
_cell_angle_beta 90.00
_cell_angle_gamma 90.00
_space_group_name_H-M_alt 'P m -3 m'
_space_group_IT_number 221
_space_group_name_Hall '-P 4 2 3'
loop_
_atom_site_label
_atom_site_fract_x
_atom_site_fract_y
_atom_site_fract_z
Si1 0.000 0.000 0.000
Ru1 0.000 0.500 0.500
N1 0.500 0.500 0.500
```

Excess energy over the best structure of this formula in the dataset ... 0 meV/atom
Total magnetic moment ... 0.0 μB/f.u.
Raw total energy ... -40.6 eV for the cell shown

Here is a geometry-optimized SmSiRuN structure from Alexandria. Energies are from PBE.

Geometry as CIF:
```
data_SmSiRuN
_cell_length_a 3.970
_cell_length_b 3.970
_cell_length_c 8.123
_cell_angle_alpha 90.00
_cell_angle_beta 90.00
_cell_angle_gamma 90.00
_space_group_name_H-M_alt 'P 4/n m m'
_space_group_IT_number 129
loop_
_space_group_symop_operation_xyz
'x,y,z'
'-x,-y,-z'
'-y+1/2,x,z'
'y+1/2,-x,-z'
'-x+1/2,-y+1/2,z'
'x+1/2,y+1/2,-z'
'y,-x+1/2,z'
'-y,x+1/2,-z'
'x+1/2,-y,-z'
'-x+1/2,y,z'
'-y,-x,-z'
'y,x,z'
'-x,y+1/2,-z'
'x,-y+1/2,z'
'y+1/2,x+1/2,-z'
'-y+1/2,-x+1/2,z'
loop_
_atom_site_label
_atom_site_fract_x
_atom_site_fract_y
_atom_site_fract_z
Sm1 0.250 0.250 0.159
Si1 0.250 0.250 0.656
Ru1 0.250 0.750 0.500
N1 0.250 0.250 0.873
```

Total magnetic moment ... 0.0 μB/f.u.
Raw total energy ... -63.9 eV for the cell shown

Here is a geometry-optimized SrSiRu2N structure from Alexandria. Energies are from PBE.

Geometry as CIF:
```
data_SrSiRu2N
_cell_length_a 5.005
_cell_length_b 5.005
_cell_length_c 5.710
_cell_angle_alpha 90.00
_cell_angle_beta 90.00
_cell_angle_gamma 90.00
_space_group_name_H-M_alt 'P 4/m m m'
_space_group_IT_number 123
_space_group_name_Hall '-P 4 2'
loop_
_atom_site_label
_atom_site_fract_x
_atom_site_fract_y
_atom_site_fract_z
Sr1 0.000 0.000 0.000
Si1 0.000 0.000 0.500
Ru1 0.000 0.500 0.000
N1 0.500 0.500 0.500
```

Excess energy over the best structure of this formula in the dataset ... 3045 meV/atom
Total magnetic moment ... 4.8 μB/f.u.
Raw total energy ... -17.2 eV for the cell shown

Here is a geometry-optimized SrSiRu2N structure from Alexandria. Energies are from PBE.

Geometry as CIF:
```
data_SrSiRu2N
_cell_length_a 4.076
_cell_length_b 4.076
_cell_length_c 4.933
_cell_angle_alpha 90.00
_cell_angle_beta 90.00
_cell_angle_gamma 90.00
_space_group_name_H-M_alt 'P 4/m m m'
_space_group_IT_number 123
_space_group_name_Hall '-P 4 2'
loop_
_atom_site_label
_atom_site_fract_x
_atom_site_fract_y
_atom_site_fract_z
Sr1 0.000 0.000 0.000
Si1 0.500 0.500 0.000
Ru1 0.000 0.500 0.500
N1 0.000 0.000 0.500
```

Excess energy over the best structure of this formula in the dataset ... 0 meV/atom
Total magnetic moment ... 0.0 μB/f.u.
Raw total energy ... -32.4 eV for the cell shown

Here is a geometry-optimized SiTeRuN2 structure from Alexandria. Energies are from PBE.

Geometry as CIF:
```
data_SiTeRuN2
_cell_length_a 3.870
_cell_length_b 3.870
_cell_length_c 5.620
_cell_angle_alpha 90.00
_cell_angle_beta 90.00
_cell_angle_gamma 90.00
_space_group_name_H-M_alt 'P 4/m m m'
_space_group_IT_number 123
_space_group_name_Hall '-P 4 2'
loop_
_atom_site_label
_atom_site_fract_x
_atom_site_fract_y
_atom_site_fract_z
Si1 0.000 0.000 0.000
Te1 0.500 0.500 0.000
Ru1 0.500 0.500 0.500
N1 0.000 0.500 0.500
```

Excess energy over the best structure of this formula in the dataset ... 26 meV/atom
Total magnetic moment ... 0.0 μB/f.u.
Raw total energy ... -29.5 eV for the cell shown

Here is a geometry-optimized SiTeRuN2 structure from Alexandria. Energies are from PBE.

Geometry as CIF:
```
data_SiTeRuN2
_cell_length_a 3.535
_cell_length_b 3.535
_cell_length_c 7.805
_cell_angle_alpha 90.00
_cell_angle_beta 90.00
_cell_angle_gamma 90.00
_space_group_name_H-M_alt 'P 4/m m m'
_space_group_IT_number 123
_space_group_name_Hall '-P 4 2'
loop_
_atom_site_label
_atom_site_fract_x
_atom_site_fract_y
_atom_site_fract_z
Si1 0.000 0.000 0.000
Te1 0.000 0.000 0.500
Ru1 0.500 0.500 0.500
N1 0.000 0.500 0.000
```

Excess energy over the best structure of this formula in the dataset ... 0 meV/atom
Total magnetic moment ... 0.7 μB/f.u.
Raw total energy ... -29.6 eV for the cell shown